(1)
# PrURh2

A geometry-optimized PrURh2 structure (GGA-PBE, the Alexandria database).

The structure belongs to space group P4/mmm (No. 123); the cell edges are 3.4265, 3.4265 and 7.2782 Å and the angles 90.00°, 90.00° and 90.00°. The asymmetric unit holds Pr at (0.0000, 0.0000, 0.0000), U at (0.0000, 0.0000, 0.5000) and Rh at (0.5000, 0.5000, 0.2934).

For the total magnetic moment, the calculation gives 1.7 μB per formula unit. For the density of states at the Fermi level, the calculation gives 1.332 states/eV per atom. The calculation puts the formation energy from the elements at -502 meV per atom.


(2)
# La4Bi3Pb

A geometry-optimized La4Bi3Pb structure (GGA-PBE, the Alexandria database).

The structure belongs to space group P2/c (No. 13); the cell edges are 8.1959, 9.3773 and 8.0983 Å and the angles 90.00°, 109.37° and 90.00°. The asymmetric unit holds La at (0.2479, 0.1266, 0.0003), La at (0.2512, 0.3748, 0.4996), Bi at (0.0000, 0.1248, 0.2500), Bi at (0.0000, 0.3764, 0.7500), Bi at (0.5000, 0.3752, 0.2500) and Pb at (0.5000, 0.1221, 0.7500).

For the total magnetic moment, the calculation gives 0.0 μB per formula unit. For the density of states at the Fermi level, the calculation gives 0.725 states/eV per atom. The calculation puts the formation energy from the elements at -894 meV per atom.


(3)
# LiTc2Mo2

A geometry-optimized LiTc2Mo2 structure (GGA-PBE, the Alexandria database).

The structure belongs to space group P4/mbm (No. 127); the cell edges are 7.5380, 7.5380 and 2.8822 Å and the angles 90.00°, 90.00° and 90.00°. The asymmetric unit holds Li at (0.0000, 0.0000, 0.0000), Tc at (0.1505, 0.3495, 0.5000) and Mo at (0.1479, 0.6479, 0.0000).

For the total magnetic moment, the calculation gives 0.0 μB per formula unit. For the density of states at the Fermi level, the calculation gives 0.423 states/eV per atom. The calculation puts the formation energy from the elements at 303 meV per atom.


Energy
In order: -32.8, -84.4, -85.6
Unit: eV per cell